# Zn2ReRu

A relaxed Zn2ReRu crystal (PBE, the Alexandria database).

a b c (Å): 3.688 2.816 6.226
angles (deg): 63.06 90.00 90.00
Fractional coordinates of all 4 atoms:
1 Zn 0.500 0.263 0.238
2 Zn 0.000 0.989 0.011
3 Ru 0.500 0.768 0.732
4 Re 0.000 0.480 0.520

Values from the calculation:
energy of formation	0.071	eV per atom